A:
VASP calculation (PBE-GGA) on BaLi4Ag after structural relaxation.

## Properties
- M_tot: 0.000 μB per formula unit

abc: 8.3895 4.5064 8.4112
angles: 90.00 90.00 90.00
Fractional positions:
Ba  0.2500  0.0000  0.0975
Ba  0.7500  0.0000  0.9025
Li  0.0000  0.0000  0.5000
Li  0.0686  0.5000  0.7639
Li  0.2500  0.5000  0.4759
Li  0.4314  0.5000  0.7639
Li  0.5000  0.0000  0.5000
Li  0.5686  0.5000  0.2361
Li  0.7500  0.5000  0.5241
Li  0.9314  0.5000  0.2361
Ag  0.2500  0.0000  0.6962
Ag  0.7500  0.0000  0.3038


B:
VASP calculation (PBE-GGA) on BaLi4Ag after structural relaxation.

## Properties
- M_tot: 0.277 μB per formula unit

abc: 5.8902 5.8902 5.8902
angles: 60.00 60.00 60.00
Fractional positions:
Ba  0.0000  0.0000  0.0000
Li  0.1342  0.6219  0.6219
Li  0.6219  0.1342  0.6219
Li  0.6219  0.6219  0.1342
Li  0.6219  0.6219  0.6219
Ag  0.2500  0.2500  0.2500


Least stable = B


A:
VASP calculation (PBE-GGA) on BaLi3Ag3 after structural relaxation.

## Properties
- M_tot: 0.000 μB per formula unit

abc: 7.8431 7.8431 7.8431
angles: 57.88 57.88 57.88
Fractional positions:
Ba  0.1332  0.1332  0.1332
Ba  0.8668  0.8668  0.8668
Li  0.1931  0.1932  0.5614
Li  0.1931  0.5614  0.1931
Li  0.4386  0.8068  0.8068
Li  0.5614  0.1931  0.1931
Li  0.8068  0.4386  0.8068
Li  0.8068  0.8068  0.4386
Ag  0.1806  0.5592  0.5592
Ag  0.4408  0.4408  0.8194
Ag  0.4408  0.8194  0.4408
Ag  0.5592  0.1806  0.5592
Ag  0.5592  0.5592  0.1806
Ag  0.8194  0.4408  0.4408


B:
VASP calculation (PBE-GGA) on BaLi3Ag3 after structural relaxation.

## Properties
- M_tot: 0.000 μB per formula unit

abc: 7.1305 7.1305 7.1305
angles: 90.00 90.00 90.00
Fractional positions:
Ba  0.0000  0.0000  0.0000
Ba  0.5000  0.5000  0.5000
Li  0.0000  0.2500  0.5000
Li  0.0000  0.7500  0.5000
Li  0.2500  0.5000  0.0000
Li  0.5000  0.0000  0.2500
Li  0.5000  0.0000  0.7500
Li  0.7500  0.5000  0.0000
Ag  0.0000  0.5000  0.2500
Ag  0.0000  0.5000  0.7500
Ag  0.2500  0.0000  0.5000
Ag  0.5000  0.2500  0.0000
Ag  0.5000  0.7500  0.0000
Ag  0.7500  0.0000  0.5000


Least stable = B